*i*
# PBE CaIrI, optimized geometry
# symmetry: P1 (1)
data_CaIrI
_cell_length_a 8.770
_cell_length_b 4.333
_cell_length_c 5.848
_cell_angle_alpha 111.70
_cell_angle_beta 110.32
_cell_angle_gamma 89.96
_symmetry_space_group_name_H-M 'P 1'
_symmetry_Int_Tables_number 1
_symmetry_space_group_name_Hall 'P 1'
loop_
_atom_site_label
_atom_site_fract_x
_atom_site_fract_y
_atom_site_fract_z
_atom_site_occupancy
I1 0.749 0.900 0.448 1
I2 0.441 0.538 0.725 1
Ca1 0.147 0.021 0.691 1
Ca2 0.806 0.206 0.058 1
Ir1 0.073 0.720 0.088 1
Ir2 0.168 0.302 0.251 1

=====

*ii*
# PBE CaIrI, optimized geometry
# symmetry: P1 (1)
data_CaIrI
_cell_length_a 4.703
_cell_length_b 8.200
_cell_length_c 4.518
_cell_angle_alpha 90.28
_cell_angle_beta 122.85
_cell_angle_gamma 89.89
_symmetry_space_group_name_H-M 'P 1'
_symmetry_Int_Tables_number 1
_symmetry_space_group_name_Hall 'P 1'
loop_
_atom_site_label
_atom_site_fract_x
_atom_site_fract_y
_atom_site_fract_z
_atom_site_occupancy
Ca1 0.536 0.030 0.011 1
Ca2 0.536 0.530 0.011 1
Ir1 0.857 0.784 0.625 1
Ir2 0.857 0.284 0.625 1
I1 0.204 0.778 0.335 1
I2 0.204 0.278 0.335 1

=====

What should be chosen as the most stable of them? Choose *i*.

=====

*i*
# PBE CaIrI, optimized geometry
# symmetry: F-43m (216)
data_CaIrI
_cell_length_a 4.707
_cell_length_b 4.707
_cell_length_c 4.707
_cell_angle_alpha 60.00
_cell_angle_beta 60.00
_cell_angle_gamma 60.00
_symmetry_space_group_name_H-M 'P 1'
_symmetry_Int_Tables_number 1
_symmetry_space_group_name_Hall 'P 1'
loop_
_atom_site_label
_atom_site_fract_x
_atom_site_fract_y
_atom_site_fract_z
_atom_site_occupancy
Ca1 0.750 0.750 0.750 1
I1 0.250 0.250 0.250 1
Ir1 0.500 0.500 0.500 1

=====

*ii*
# PBE CaIrI, optimized geometry
# symmetry: P1 (1)
data_CaIrI
_cell_length_a 4.976
_cell_length_b 7.563
_cell_length_c 5.484
_cell_angle_alpha 107.18
_cell_angle_beta 64.12
_cell_angle_gamma 106.90
_symmetry_space_group_name_H-M 'P 1'
_symmetry_Int_Tables_number 1
_symmetry_space_group_name_Hall 'P 1'
loop_
_atom_site_label
_atom_site_fract_x
_atom_site_fract_y
_atom_site_fract_z
_atom_site_occupancy
Ir1 0.392 0.031 0.579 1
Ir2 0.443 0.721 0.185 1
Ca1 0.195 0.654 0.727 1
Ca2 0.747 0.061 0.964 1
I1 0.923 0.837 0.346 1
I2 0.549 0.380 0.826 1

=====

What should be chosen as the most stable of them? Choose *ii*.

=====

*i*
# PBE CaIrI, optimized geometry
# symmetry: P-1 (2)
data_CaIrI
_cell_length_a 4.208
_cell_length_b 11.015
_cell_length_c 4.293
_cell_angle_alpha 101.18
_cell_angle_beta 90.00
_cell_angle_gamma 67.64
_symmetry_space_group_name_H-M 'P 1'
_symmetry_Int_Tables_number 1
_symmetry_space_group_name_Hall 'P 1'
loop_
_atom_site_label
_atom_site_fract_x
_atom_site_fract_y
_atom_site_fract_z
_atom_site_occupancy
I1 0.518 0.783 0.158 1
I2 0.687 0.111 0.824 1
Ca1 0.011 0.288 0.411 1
Ca2 0.195 0.606 0.570 1
Ir1 0.793 0.508 0.021 1
Ir2 0.413 0.387 0.960 1

=====

*ii*
# PBE CaIrI, optimized geometry
# symmetry: P4/nmm (129)
data_CaIrI
_cell_length_a 5.110
_cell_length_b 5.110
_cell_length_c 6.055
_cell_angle_alpha 90.00
_cell_angle_beta 90.00
_cell_angle_gamma 90.00
_symmetry_space_group_name_H-M 'P 1'
_symmetry_Int_Tables_number 1
_symmetry_space_group_name_Hall 'P 1'
loop_
_atom_site_label
_atom_site_fract_x
_atom_site_fract_y
_atom_site_fract_z
_atom_site_occupancy
I1 0.500 0.500 0.500 1
I2 0.000 0.000 0.500 1
Ir1 0.500 0.000 0.664 1
Ir2 0.000 0.500 0.336 1
Ca1 0.000 0.500 0.863 1
Ca2 0.500 0.000 0.137 1

=====

What should be chosen as the most stable of them? Choose *i*.

=====

*i*
# PBE CaIr2I, optimized geometry
# symmetry: Fm-3m (225)
data_CaIr2I
_cell_length_a 4.794
_cell_length_b 4.794
_cell_length_c 4.794
_cell_angle_alpha 60.00
_cell_angle_beta 60.00
_cell_angle_gamma 60.00
_symmetry_space_group_name_H-M 'P 1'
_symmetry_Int_Tables_number 1
_symmetry_space_group_name_Hall 'P 1'
loop_
_atom_site_label
_atom_site_fract_x
_atom_site_fract_y
_atom_site_fract_z
_atom_site_occupancy
Ir1 0.250 0.250 0.250 1
Ir2 0.750 0.750 0.750 1
Ca1 0.000 0.000 0.000 1
I1 0.500 0.500 0.500 1

=====

*ii*
# PBE CaIr2I, optimized geometry
# symmetry: I-42d (122)
data_CaIr2I
_cell_length_a 4.957
_cell_length_b 4.957
_cell_length_c 9.384
_cell_angle_alpha 74.69
_cell_angle_beta 74.69
_cell_angle_gamma 90.00
_symmetry_space_group_name_H-M 'P 1'
_symmetry_Int_Tables_number 1
_symmetry_space_group_name_Hall 'P 1'
loop_
_atom_site_label
_atom_site_fract_x
_atom_site_fract_y
_atom_site_fract_z
_atom_site_occupancy
Ir1 0.792 0.125 0.250 1
Ir2 0.375 0.208 0.750 1
Ir3 0.875 0.042 0.750 1
Ir4 0.958 0.625 0.250 1
I1 0.000 0.000 0.000 1
I2 0.750 0.250 0.500 1
Ca1 0.500 0.500 0.000 1
Ca2 0.250 0.750 0.500 1

=====

What should be chosen as the most stable of them? Choose *ii*.

=====

*i*
# PBE CaIrI2, optimized geometry
# symmetry: Fm-3m (225)
data_CaIrI2
_cell_length_a 5.260
_cell_length_b 5.260
_cell_length_c 5.260
_cell_angle_alpha 60.00
_cell_angle_beta 60.00
_cell_angle_gamma 60.00
_symmetry_space_group_name_H-M 'P 1'
_symmetry_Int_Tables_number 1
_symmetry_space_group_name_Hall 'P 1'
loop_
_atom_site_label
_atom_site_fract_x
_atom_site_fract_y
_atom_site_fract_z
_atom_site_occupancy
I1 0.750 0.750 0.750 1
I2 0.250 0.250 0.250 1
Ir1 0.500 0.500 0.500 1
Ca1 0.000 0.000 0.000 1

=====

*ii*
# PBE CaIrI2, optimized geometry
# symmetry: I-42d (122)
data_CaIrI2
_cell_length_a 5.606
_cell_length_b 5.606
_cell_length_c 9.094
_cell_angle_alpha 72.05
_cell_angle_beta 72.05
_cell_angle_gamma 90.00
_symmetry_space_group_name_H-M 'P 1'
_symmetry_Int_Tables_number 1
_symmetry_space_group_name_Hall 'P 1'
loop_
_atom_site_label
_atom_site_fract_x
_atom_site_fract_y
_atom_site_fract_z
_atom_site_occupancy
I1 0.875 0.930 0.750 1
I2 0.070 0.625 0.250 1
I3 0.680 0.125 0.250 1
I4 0.375 0.320 0.750 1
Ir1 0.750 0.250 0.500 1
Ir2 0.000 0.000 0.000 1
Ca1 0.500 0.500 0.000 1
Ca2 0.250 0.750 0.500 1

=====

What should be chosen as the most stable of them? Choose *ii*.

=====

*i*
# PBE CaIrI2N, optimized geometry
# symmetry: P4/mmm (123)
data_CaIrI2N
_cell_length_a 5.787
_cell_length_b 5.787
_cell_length_c 3.764
_cell_angle_alpha 90.00
_cell_angle_beta 90.00
_cell_angle_gamma 90.00
_symmetry_space_group_name_H-M 'P 1'
_symmetry_Int_Tables_number 1
_symmetry_space_group_name_Hall 'P 1'
loop_
_atom_site_label
_atom_site_fract_x
_atom_site_fract_y
_atom_site_fract_z
_atom_site_occupancy
Ca1 0.500 0.500 0.500 1
N1 0.000 0.000 0.500 1
Ir1 0.000 0.000 0.000 1
I1 0.000 0.500 0.000 1
I2 0.500 0.000 0.000 1

=====

*ii*
# PBE CaIrI2N, optimized geometry
# symmetry: P4/mmm (123)
data_CaIrI2N
_cell_length_a 5.995
_cell_length_b 5.995
_cell_length_c 4.520
_cell_angle_alpha 90.00
_cell_angle_beta 90.00
_cell_angle_gamma 90.00
_symmetry_space_group_name_H-M 'P 1'
_symmetry_Int_Tables_number 1
_symmetry_space_group_name_Hall 'P 1'
loop_
_atom_site_label
_atom_site_fract_x
_atom_site_fract_y
_atom_site_fract_z
_atom_site_occupancy
I1 0.500 0.000 0.000 1
I2 0.000 0.500 0.000 1
Ca1 0.000 0.000 0.000 1
Ir1 0.500 0.500 0.500 1
N1 0.000 0.000 0.500 1

=====

What should be chosen as the most stable of them? Choose *i*.